(1)
First-principles (GGA+U) data for an optimized crystal structure of CaMn3C4O12, as listed in Alexandria.

abc: 9.8434 9.8434 8.2151
angles: 90.00 90.00 120.00
Space group R32 (No. 155, hexagonal axes)
One atom of each set of equivalent atoms:
Ca  0.0000  0.0000  0.0000 x3
Mn  0.0000  0.5338  0.0000 x9
C  0.0000  0.0000  0.5000 x3
C  0.0000  0.4636  0.5000 x9
O  0.9999  0.2004  0.1757 x18
O  0.0000  0.5956  0.5000 x9
O  0.0000  0.8682  0.5000 x9

Values from the calculation:
Size of the total moment ... 15.0 μB/f.u.
DFT total energy ... -0.5728 Ry/atom


(2)
First-principles (GGA+U) data for an optimized crystal structure of Mn3Nb6O11, as listed in Alexandria.

abc: 6.1624 6.1624 7.7450
angles: 90.00 90.00 120.00
Space group P-3m1 (No. 164)
One atom of each set of equivalent atoms:
Mn  0.0000  0.0000  0.0000 x1
Mn  0.3333  0.6667  0.9302 x2
Nb  0.1543  0.3086  0.3519 x6
O  0.0000  0.5000  0.5000 x3
O  0.1561  0.3121  0.8154 x6
O  0.3333  0.6667  0.1966 x2

Values from the calculation:
Size of the total moment ... 15.0 μB/f.u.
DFT total energy ... -0.6573 Ry/atom